Here is an optimized crystal structure of MnGeO3 from Alexandria. Energies are from PBEsol.

Calculated values
Energy relative to the elements, uncorrected (meV per atom): -1530

abc: 5.0368 5.0368 14.2390
angles: 90.00 90.00 120.00
Space group R-3 (No. 148, hexagonal axes)
Unique sites:
Mn  0.0000  0.0000  0.1337 [6 per cell]
Ge  0.0000  0.0000  0.3431 [6 per cell]
O  0.0141  0.3812  0.9248 [18 per cell]